Record 1
Computed, not measured: a PBEsol-optimized structure of Mg2HgSb at the SCAN level of DFT.

Structure (extended XYZ):
```
4
Lattice="4.222 0.000 0.000 0.000 4.222 0.000 -2.111 -2.111 5.018" Properties=species:S:1:pos:R:3 pbc="T T T"
Hg 0.000 2.111 2.509
Mg 0.000 0.000 0.000
Mg 2.111 0.000 2.509
Sb 2.111 2.111 0.000
```

Excess energy over the best structure of this formula in the dataset: 0.21 eV/f.u.
Symmetry: I-4m2 (119)
ΔE_f (raw): -0.9 eV per formula unit
Density: 6885 kg/m³
Energy: -29.064 eV/atom

***

Record 2
Computed, not measured: a PBEsol-optimized structure of MgHg2Sb at the SCAN level of DFT.

Structure (extended XYZ):
```
4
Lattice="-0.623 -0.715 -4.219 -1.235 -4.008 1.053 -4.894 1.626 0.447" Properties=species:S:1:pos:R:3 pbc="T T T"
Hg -1.076 -3.154 -0.315
Hg -0.782 -1.570 -2.851
Sb -2.447 0.813 0.223
Mg -3.376 -1.549 -1.360
```

Symmetry: Cmmm (65)
ΔE_f (raw): -0.5 eV per formula unit
Density: 9395 kg/m³
Energy: -44.779 eV/atom